*one*
## GaAs3Pd (PBE-GGA)

Data for a relaxed structure of GaAs3Pd.

- Density: 5.91 g/cm³

Cell and atoms, written as CIF:
```
data_GaAs3Pd
_chemical_formula_sum 'Ga1 As3 Pd1'
_space_group_name_H-M_alt 'P 1'
_space_group_IT_number 1
_space_group_name_Hall 'P 1'
_cell_length_a 4.831
_cell_length_b 4.831
_cell_length_c 4.831
_cell_angle_alpha 90.00
_cell_angle_beta 90.00
_cell_angle_gamma 90.00
loop_
_atom_site_label
_atom_site_fract_x
_atom_site_fract_y
_atom_site_fract_z
_atom_site_occupancy
Ga1 0.000 0.000 0.000 1
As1 0.000 0.000 0.500 1
As2 0.000 0.500 0.000 1
As3 0.500 0.000 0.000 1
Pd1 0.500 0.500 0.500 1
```

*two*
## GaAs3Pd (PBE-GGA)

Data for a relaxed structure of GaAs3Pd.

- Density: 5.56 g/cm³

Cell and atoms, written as CIF:
```
data_GaAs3Pd
_chemical_formula_sum 'Ga1 As3 Pd1'
_space_group_name_H-M_alt 'P 1'
_space_group_IT_number 1
_space_group_name_Hall 'P 1'
_cell_length_a 4.928
_cell_length_b 4.928
_cell_length_c 4.928
_cell_angle_alpha 90.00
_cell_angle_beta 90.00
_cell_angle_gamma 90.00
loop_
_atom_site_label
_atom_site_fract_x
_atom_site_fract_y
_atom_site_fract_z
_atom_site_occupancy
Ga1 0.000 0.000 0.000 1
As1 0.000 0.500 0.500 1
As2 0.500 0.000 0.500 1
As3 0.500 0.500 0.000 1
Pd1 0.500 0.500 0.500 1
```

Of them, *two* has the highest stability.

*one*
## GaAs2Pd2 (PBE-GGA)

Data for a relaxed structure of GaAs2Pd2.

- Density: 7.74 g/cm³

Cell and atoms, written as CIF:
```
data_GaAs2Pd2
_chemical_formula_sum 'Ga1 As2 Pd2'
_space_group_name_H-M_alt 'P 1'
_space_group_IT_number 1
_space_group_name_Hall 'P 1'
_cell_length_a 6.972
_cell_length_b 6.972
_cell_length_c 6.972
_cell_angle_alpha 148.40
_cell_angle_beta 148.40
_cell_angle_gamma 45.30
loop_
_atom_site_label
_atom_site_fract_x
_atom_site_fract_y
_atom_site_fract_z
_atom_site_occupancy
Ga1 0.000 0.000 0.000 1
As1 0.250 0.750 0.500 1
As2 0.750 0.250 0.500 1
Pd1 0.396 0.396 0.000 1
Pd2 0.604 0.604 0.000 1
```

*two*
## GaAs2Pd2 (PBE-GGA)

Data for a relaxed structure of GaAs2Pd2.

- Density: 8.12 g/cm³

Cell and atoms, written as CIF:
```
data_GaAs2Pd2
_chemical_formula_sum 'Ga2 As4 Pd4'
_space_group_name_H-M_alt 'P 1'
_space_group_IT_number 1
_space_group_name_Hall 'P 1'
_cell_length_a 7.798
_cell_length_b 7.798
_cell_length_c 2.907
_cell_angle_alpha 90.00
_cell_angle_beta 90.00
_cell_angle_gamma 90.00
loop_
_atom_site_label
_atom_site_fract_x
_atom_site_fract_y
_atom_site_fract_z
_atom_site_occupancy
Ga1 0.000 0.000 0.000 1
Ga2 0.500 0.500 0.000 1
As1 0.144 0.356 0.500 1
As2 0.356 0.856 0.500 1
As3 0.644 0.144 0.500 1
As4 0.856 0.644 0.500 1
Pd1 0.150 0.650 0.000 1
Pd2 0.350 0.150 0.000 1
Pd3 0.650 0.850 0.000 1
Pd4 0.850 0.350 0.000 1
```

Of them, *two* has the highest stability.